Compound: Pm2Er3Tm3
Source: Alexandria via LeMat-Bulk
Functional: PBE
Structure: optimized geometry

Formation energy: 177.1 kJ/mol of formula units
D(E_F): 2.239 states/eV per atom
Size of the total moment: 0.00 μB per formula unit
Distance to the lowest polymorph of the same formula: 0.203 eV per atom

a = 6.3652 Å, b = 6.3652 Å, c = 6.3652 Å
α = 86.50°, β = 86.50°, γ = 86.50°
With the nearest neighbours (Å) after each atom.
Element x y z (fractional)
Pm 0.2455 0.2455 0.2455  6 Er 3.52-3.57, 6 Tm 3.55-3.60
Pm 0.7545 0.7545 0.7545  6 Er 3.52-3.57, 6 Tm 3.55-3.60
Er 0.0000 0.7654 0.2346  2 Tm 3.19, 4 Pm 3.52-3.57, 2 Er 3.54
Er 0.2346 0.0000 0.7654  2 Tm 3.19, 4 Pm 3.52-3.57, 2 Er 3.54
Er 0.7654 0.2346 0.0000  2 Tm 3.19, 4 Pm 3.52-3.57, 2 Er 3.54
Tm 0.2666 0.5000 0.7334  2 Er 3.19, 2 Tm 3.53, 2 Pm 3.55
Tm 0.5000 0.7334 0.2666  2 Er 3.19, 2 Tm 3.53, 2 Pm 3.55
Tm 0.7334 0.2666 0.5000  2 Er 3.19, 2 Tm 3.53, 2 Pm 3.55

=====

Compound: Ca2ScW2
Source: Alexandria via LeMat-Bulk
Functional: PBE
Structure: optimized geometry

Formation energy: 521.8 kJ/mol of formula units
D(E_F): 1.507 states/eV per atom
Size of the total moment: 0.00 μB per formula unit

a = 7.6143 Å, b = 7.6143 Å, c = 7.6143 Å
α = 148.26°, β = 148.26°, γ = 45.51°
With the nearest neighbours (Å) after each atom.
Element x y z (fractional)
Ca 0.2500 0.7500 0.5000  4 Ca 2.95, 4 W 3.15
Ca 0.7500 0.2500 0.5000  4 Ca 2.95, 4 W 3.15
Sc 0.0000 0.0000 0.0000  8 W 3.16
W 0.4187 0.4187 0.0000  1 W 2.28
W 0.5813 0.5813 0.0000  1 W 2.28

=====

Compound: NaSiAs2Ir
Source: Alexandria via LeMat-Bulk
Functional: PBE
Structure: optimized geometry

D(E_F): 0.577 states/eV per atom
Formation energy (no corrections): 5.73 eV per formula unit
Size of the total moment: 0.00 μB per formula unit
Distance to the lowest polymorph of the same formula: 0.806 eV per atom

a = 4.6782 Å, b = 4.6782 Å, c = 4.7914 Å
α = 90.00°, β = 90.00°, γ = 90.00°
With the nearest neighbours (Å) after each atom.
Element x y z (fractional)
Na 0.0000 0.0000 0.0000  2 Si 2.40
Si 0.0000 0.0000 0.5000  4 As 2.34, 2 Na 2.40
As 0.0000 0.5000 0.5000  2 Si 2.34
As 0.5000 0.0000 0.5000  2 Si 2.34
Ir 0.5000 0.5000 0.0000  4 Na 3.31, 8 As 3.35

=====

Compound: La4Nd5Th4
Source: Alexandria via LeMat-Bulk
Functional: PBE
Structure: optimized geometry

Formation energy: 43.9 kJ/mol of formula units
D(E_F): 1.575 states/eV per atom
Size of the total moment: 0.00 μB per formula unit

a = 9.7124 Å, b = 9.7124 Å, c = 9.7124 Å
α = 93.99°, β = 93.99°, γ = 149.41°
With the nearest neighbours (Å) after each atom.
Element x y z (fractional)
La 0.1524 0.2359 0.3883  6 Nd 3.59-3.73, 4 Th 3.62-3.82, 2 La 3.66
La 0.2359 0.8476 0.0835  6 Nd 3.59-3.73, 4 Th 3.62-3.82, 2 La 3.66
La 0.7641 0.1524 0.9165  6 Nd 3.59-3.73, 4 Th 3.62-3.82, 2 La 3.66
La 0.8476 0.7641 0.6117  6 Nd 3.59-3.73, 4 Th 3.62-3.82, 2 La 3.66
Nd 0.0000 0.0000 0.0000  4 La 3.72, 8 Nd 3.73
Nd 0.2992 0.4633 0.7625  3 Th 3.57-3.62, 5 La 3.59-3.73, 4 Nd 3.73-3.82
Nd 0.4633 0.7008 0.1640  3 Th 3.57-3.62, 5 La 3.59-3.73, 4 Nd 3.73-3.82
Nd 0.5367 0.2992 0.8360  3 Th 3.57-3.62, 5 La 3.59-3.73, 4 Nd 3.73-3.82
Nd 0.7008 0.5367 0.2375  3 Th 3.57-3.62, 5 La 3.59-3.73, 4 Nd 3.73-3.82
Th 0.0730 0.6100 0.6830  5 Th 3.50-3.56, 3 Nd 3.57-3.62, 4 La 3.62-3.82
Th 0.3900 0.0730 0.4630  5 Th 3.50-3.56, 3 Nd 3.57-3.62, 4 La 3.62-3.82
Th 0.6100 0.9270 0.5370  5 Th 3.50-3.56, 3 Nd 3.57-3.62, 4 La 3.62-3.82
Th 0.9270 0.3900 0.3170  5 Th 3.50-3.56, 3 Nd 3.57-3.62, 4 La 3.62-3.82

=====

Compound: Bi5IO7
Source: Alexandria via LeMat-Bulk
Functional: PBE
Structure: optimized geometry

D(E_F): 0.000 states/eV per atom
Formation energy (no corrections): -15.29 eV per formula unit
Size of the total moment: 0.00 μB per formula unit

a = 14.7767 Å, b = 14.7767 Å, c = 14.7767 Å
α = 158.58°, β = 111.33°, γ = 72.86°
With the nearest neighbours (Å) after each atom.
Element x y z (fractional)
Bi 0.0165 0.4826 0.6205  3 O 2.15-2.16
Bi 0.0469 0.2969 0.7500  4 O 2.21-2.24
Bi 0.1176 0.2287 0.9655  5 O 2.20-2.46
Bi 0.1379 0.0174 0.0339  3 O 2.15-2.16
Bi 0.2368 0.8479 0.4655  5 O 2.20-2.46
Bi 0.2632 0.7287 0.6111  5 O 2.20-2.46
Bi 0.3621 0.3960 0.8795  3 O 2.15-2.16
Bi 0.3824 0.3479 0.1111  5 O 2.20-2.46
Bi 0.4531 0.2031 0.2500  4 O 2.21-2.24
Bi 0.4835 0.1040 0.4661  3 O 2.15-2.16
Bi 0.5165 0.8960 0.5339  3 O 2.15-2.16
Bi 0.5469 0.7969 0.7500  4 O 2.21-2.24
Bi 0.6176 0.6521 0.8889  5 O 2.20-2.46
Bi 0.6379 0.6040 0.1205  3 O 2.15-2.16
Bi 0.7368 0.2713 0.3889  5 O 2.20-2.46
Bi 0.7632 0.1521 0.5345  5 O 2.20-2.46
Bi 0.8621 0.9826 0.9661  3 O 2.15-2.16
Bi 0.8824 0.7713 0.0345  5 O 2.20-2.46
Bi 0.9531 0.7031 0.2500  4 O 2.21-2.24
Bi 0.9835 0.5174 0.3795  3 O 2.15-2.16
I 0.1542 0.9042 0.2500  4 O 3.63-4.04, 6 Bi 3.72-3.91
I 0.3458 0.5958 0.7500  4 O 3.63-4.04, 6 Bi 3.72-3.91
I 0.6542 0.4042 0.2500  4 O 3.63-4.04, 6 Bi 3.72-3.91
I 0.8458 0.0958 0.7500  4 O 3.63-4.04, 6 Bi 3.72-3.91
O 0.0045 0.1301 0.0365  2 Bi 2.15-2.16
O 0.0774 0.4799 0.0640  3 Bi 2.21-2.35
O 0.0841 0.9866 0.5640  3 Bi 2.21-2.35
O 0.0925 0.5706 0.3637  2 Bi 2.15-2.33
O 0.0936 0.6301 0.6256  2 Bi 2.15-2.16
O 0.2069 0.0706 0.9781  2 Bi 2.15-2.33
O 0.2500 0.9997 0.7497  4 Bi 2.20-2.45
O 0.2500 0.4997 0.2497  4 Bi 2.20-2.45
O 0.2931 0.2713 0.8637  2 Bi 2.15-2.33
O 0.4064 0.0320 0.5365  2 Bi 2.15-2.16
O 0.4075 0.7713 0.4781  2 Bi 2.15-2.33
O 0.4159 0.9799 0.9025  3 Bi 2.21-2.35
O 0.4226 0.4866 0.4025  3 Bi 2.21-2.35
O 0.4955 0.5320 0.1256  2 Bi 2.15-2.16
O 0.5045 0.4680 0.8744  2 Bi 2.15-2.16
O 0.5774 0.5134 0.5975  3 Bi 2.21-2.35
O 0.5841 0.0201 0.0975  3 Bi 2.21-2.35
O 0.5925 0.2287 0.5219  2 Bi 2.15-2.33
O 0.5936 0.9680 0.4635  2 Bi 2.15-2.16
O 0.7069 0.7287 0.1363  2 Bi 2.15-2.33
O 0.7500 0.0003 0.2503  4 Bi 2.20-2.45
O 0.7500 0.5003 0.7503  4 Bi 2.20-2.45
O 0.7931 0.9294 0.0219  2 Bi 2.15-2.33
O 0.9064 0.3699 0.3744  2 Bi 2.15-2.16
O 0.9075 0.4294 0.6363  2 Bi 2.15-2.33
O 0.9159 0.0134 0.4360  3 Bi 2.21-2.35
O 0.9226 0.5201 0.9360  3 Bi 2.21-2.35
O 0.9955 0.8699 0.9635  2 Bi 2.15-2.16

=====

Compound: Y2CrCd
Source: Alexandria via LeMat-Bulk
Functional: PBE
Structure: optimized geometry

Formation energy: 24.3 kJ/mol of formula units
D(E_F): 1.080 states/eV per atom
Size of the total moment: 0.44 μB per formula unit

a = 6.1287 Å, b = 6.1287 Å, c = 9.8615 Å
α = 115.49°, β = 115.49°, γ = 37.81°
With the nearest neighbours (Å) after each atom.
Element x y z (fractional)
Y 0.0000 0.0000 0.0000  3 Cr 3.06-3.29, 5 Cd 3.21-3.29
Y 0.2496 0.2496 0.6772  3 Cd 3.15-3.32, 3 Y 3.42-3.47, 1 Cr 3.49
Y 0.5386 0.5386 0.3382  4 Cr 3.10-3.43, 1 Cd 3.19
Y 0.9170 0.9170 0.5460  3 Cr 3.04-3.14, 2 Cd 3.17
Cr 0.2343 0.2343 0.3153  2 Cr 2.37
Cr 0.7479 0.7479 0.1914  2 Cr 2.37
Cd 0.2889 0.2889 0.0151  2 Cr 2.82, 2 Cd 3.00, 1 Y 3.15
Cd 0.5947 0.5947 0.8093  2 Cd 3.00, 6 Y 3.17-3.32

=====

Question: Look up the D(E_F) of the sixth one.
Answer: 1.080 states/eV per atom

=====

Question: Which value of D(E_F) does entry 3 give?
Answer: 0.577 states/eV per atom

=====

Question: Look up the size of the total moment of the sixth one.
Answer: 0.44 μB per formula unit

=====

Question: Which of these has the lowest D(E_F)?
Answer: Bi5IO7